A geometry-optimized Y2MoF11 structure. Source: the Alexandria database, functional PBE+U.

Cell: 7.961 10.233 10.510 Å, 90.00 90.00 90.00°
Space group Ibam (No. 72)
Inequivalent atoms, fractional coordinates:
1 Y 0.138 0.181 0.000
2 Mo 0.000 0.500 0.250
3 F 0.000 0.000 0.000
4 F 0.087 0.343 0.152
5 F 0.128 0.219 0.500
6 F 0.201 0.436 0.354

Computed properties:
total DFT energy (no corrections) = -346.89 eV/cell
crystal system = orthorhombic
magnetization = 0.07 μB per atom